Entry from the Alexandria database: ScCr2BiO6 after structural relaxation (PBE+U).

Cell: 5.423 5.422 5.594 Å, 61.01 61.01 60.00°
Each line ends with the local moment (μB).
Element x y z (fractional)
1 Cr 0.018 0.018 0.946  2.97
2 Cr 0.514 0.514 0.457  2.96
3 Sc 0.807 0.807 0.578  0.02
4 O 0.680 0.230 0.242  -0.02
5 O 0.848 0.680 0.241  -0.02
6 O 0.138 0.391 0.729  -0.03
7 O 0.230 0.848 0.242  -0.02
8 O 0.391 0.742 0.729  -0.03
9 O 0.742 0.138 0.729  -0.03
10 Bi 0.293 0.293 0.122  0.02

Summary:
space-group type = No. 146
energy = -7.613 eV/atom